Record 1
## CS4 (PBE-GGA)

Data for a relaxed structure of CS4.

Output
Mass density, g cm⁻³: 3.286
Uncorrected formation energy, eV per atom: 1.562

```
5
Lattice="4.138 0.000 0.000 0.000 4.138 0.000 0.000 0.000 4.138" Properties=species:S:1:pos:R:3 pbc="T T T"
C 0.000 0.000 0.000
S 0.000 0.000 2.069
S 0.000 2.069 0.000
S 2.069 0.000 0.000
S 2.069 2.069 2.069
```

Record 2
## CS2 (PBE-GGA)

Data for a relaxed structure of CS2.

Output
Mass density, g cm⁻³: 1.214
Uncorrected formation energy, eV per atom: 0.269

```
6
Lattice="3.633 -3.144 0.000 3.633 3.144 0.000 0.000 0.000 9.119" Properties=species:S:1:pos:R:3 pbc="T T T"
C 0.000 0.000 0.000
C 3.633 0.000 4.560
S 3.633 1.969 8.098
S 3.633 1.175 3.538
S 3.633 -1.175 5.581
S 3.633 -1.969 1.022
```

Record 3
## CS3 (PBE-GGA)

Data for a relaxed structure of CS3.

Output
Mass density, g cm⁻³: 2.031
Uncorrected formation energy, eV per atom: 1.220

```
4
Lattice="-1.347 3.338 4.920 1.347 -3.338 4.920 1.347 3.338 -4.920" Properties=species:S:1:pos:R:3 pbc="T T T"
C 0.000 0.000 0.000
S 1.347 1.319 -0.038
S 0.000 3.338 0.984
S 0.000 2.019 4.882
```

Record 4
## SbCS2 (PBE-GGA)

Data for a relaxed structure of SbCS2.

Output
Mass density, g cm⁻³: 4.286
Uncorrected formation energy, eV per atom: 1.070

```
8
Lattice="-2.855 2.855 4.705 2.855 -2.855 4.705 2.855 2.855 -4.705" Properties=species:S:1:pos:R:3 pbc="T T T"
Sb 0.000 0.000 0.000
Sb 0.000 2.855 2.352
C 2.855 0.000 2.352
C 0.000 0.000 4.705
S 1.427 -0.633 3.529
S 2.221 1.427 1.176
S 1.427 3.488 -1.176
S 0.633 1.427 5.881
```

Record 5
## SbCS3 (PBE-GGA)

Data for a relaxed structure of SbCS3.

Output
Mass density, g cm⁻³: 4.960
Uncorrected formation energy, eV per atom: 0.985

```
5
Lattice="4.254 0.000 0.000 0.000 4.254 0.000 0.000 0.000 4.254" Properties=species:S:1:pos:R:3 pbc="T T T"
Sb 0.000 0.000 0.000
C 2.127 2.127 2.127
S 0.000 2.127 2.127
S 2.127 0.000 2.127
S 2.127 2.127 0.000
```

Record 6
## SbC2S (PBE-GGA)

Data for a relaxed structure of SbC2S.

Output
Mass density, g cm⁻³: 5.717
Uncorrected formation energy, eV per atom: 2.504

```
4
Lattice="0.000 2.956 2.956 2.956 0.000 2.956 2.956 2.956 0.000" Properties=species:S:1:pos:R:3 pbc="T T T"
Sb 0.000 0.000 0.000
C 1.478 1.478 1.478
C 4.434 4.434 4.434
S 2.956 2.956 2.956
```

Question: Look up the uncorrected formation energy of the second one.
Answer: 0.269 eV per atom

Question: The lowest uncorrected formation energy belongs to which entry?
Answer: CS2

Question: Which of these has the highest uncorrected formation energy?
Answer: SbC2S